First-principles (PBEsol) data for Ta2ZnPt after structural relaxation, as listed in Alexandria.

Properties
- symmetry = P4mm

a b c (Å): 2.8115 2.8115 8.0299
angles (deg): 90.00 90.00 90.00
Closest atoms and distances in Å follow each position.
Fractional positions:
Ta 0.0000 0.0000 0.0000  8 Ta 2.81-3.02, 4 Zn 2.83
Ta 0.5000 0.5000 0.2827  4 Pt 2.79, 8 Ta 2.81-3.02
Zn 0.5000 0.5000 0.7493  4 Pt 2.67, 4 Zn 2.81, 4 Ta 2.83
Pt 0.0000 0.0000 0.5271  4 Zn 2.67, 4 Ta 2.79, 4 Pt 2.81


First-principles (PBEsol) data for TaZnPt2 after structural relaxation, as listed in Alexandria.

Properties
- symmetry = P4/mmm

a b c (Å): 2.8299 2.8299 7.4651
angles (deg): 90.00 90.00 90.00
Closest atoms and distances in Å follow each position.
Fractional positions:
Ta 0.0000 0.0000 0.0000  8 Pt 2.79, 4 Ta 2.83
Zn 0.0000 0.0000 0.5000  8 Pt 2.69, 4 Zn 2.83
Pt 0.5000 0.5000 0.2599  4 Zn 2.69, 4 Ta 2.79, 4 Pt 2.83
Pt 0.5000 0.5000 0.7401  4 Zn 2.69, 4 Ta 2.79, 4 Pt 2.83


First-principles (PBEsol) data for TaZnPt2 after structural relaxation, as listed in Alexandria.

Properties
- symmetry = Pmmm

a b c (Å): 2.7976 3.8629 5.5876
angles (deg): 90.00 90.00 90.00
Closest atoms and distances in Å follow each position.
Fractional positions:
Ta 0.0000 0.0000 0.0000  8 Pt 2.77, 2 Zn 2.79, 2 Ta 2.80
Zn 0.0000 0.0000 0.5000  8 Pt 2.76, 2 Ta 2.79, 2 Zn 2.80
Pt 0.5000 0.5000 0.2506  4 Zn 2.76, 4 Ta 2.77, 4 Pt 2.79-2.80
Pt 0.5000 0.5000 0.7494  4 Zn 2.76, 4 Ta 2.77, 4 Pt 2.79-2.80


First-principles (PBEsol) data for Zr2TaPt after structural relaxation, as listed in Alexandria.

Properties
- symmetry = P4/mmm

a b c (Å): 3.3451 3.3451 6.6676
angles (deg): 90.00 90.00 90.00
Closest atoms and distances in Å follow each position.
Fractional positions:
Zr 0.0000 0.0000 0.2444  4 Pt 2.87, 4 Ta 2.92
Zr 0.0000 0.0000 0.7556  4 Pt 2.87, 4 Ta 2.92
Ta 0.5000 0.5000 0.5000  8 Zr 2.92
Pt 0.5000 0.5000 0.0000  8 Zr 2.87


First-principles (PBEsol) data for TbPt after structural relaxation, as listed in Alexandria.

Properties
- symmetry = Pm-3m

a b c (Å): 3.4538 3.4538 3.4538
angles (deg): 90.00 90.00 90.00
Closest atoms and distances in Å follow each position.
Fractional positions:
Tb 0.0000 0.0000 0.0000  8 Pt 2.99
Pt 0.5000 0.5000 0.5000  8 Tb 2.99


First-principles (PBEsol) data for TbPt3 after structural relaxation, as listed in Alexandria.

Properties
- symmetry = Pm-3m

a b c (Å): 4.0646 4.0646 4.0646
angles (deg): 90.00 90.00 90.00
Closest atoms and distances in Å follow each position.
Fractional positions:
Tb 0.0000 0.0000 0.0000  12 Pt 2.87
Pt 0.0000 0.5000 0.5000  4 Tb 2.87, 8 Pt 2.87
Pt 0.5000 0.0000 0.5000  4 Tb 2.87, 8 Pt 2.87
Pt 0.5000 0.5000 0.0000  4 Tb 2.87, 8 Pt 2.87


| no. | total magnetization (μB per formula unit) | calculated formation energy (eV/atom) |
| --- | --- | --- |
| 1 | 0.00 | -0.31 |
| 2 | 0.00 | -0.66 |
| 3 | 0.00 | -0.57 |
| 4 | 0.00 | -0.50 |
| 5 | 0.00 | -1.15 |
| 6 | 0.00 | -1.00 |